# 1
EuHO: relaxed, PBE-GGA.

It has space group Pnma (No. 62), with a = 6.1636 Å, b = 3.3273 Å, c = 7.2501 Å, α = 90.00°, β = 90.00° and γ = 90.00°. The distinct sites, in fractional coordinates, are Eu at (0.1961, 0.2500, 0.1534), H at (0.0348, 0.2500, 0.4943) and O at (0.0914, 0.2500, 0.8360).

The calculation puts the total energy at -7.79 eV per atom. As for the calculated volume: 12.4 A^3/atom. The density of states at the Fermi level is 5.71 states/eV/f.u.

# 2
CeGa12Ni4: relaxed, PBE-GGA.

It has space group Im-3 (No. 204), with a = 8.5464 Å, b = 8.5464 Å, c = 8.5464 Å, α = 90.00°, β = 90.00° and γ = 90.00°. The distinct sites, in fractional coordinates, are Ce at (0.0000, 0.0000, 0.0000), Ga at (0.0000, 0.1701, 0.3390) and Ni at (0.2500, 0.2500, 0.2500).

The calculation puts the total energy at -4.00 eV per atom. As for the calculated volume: 18.4 A^3/atom. The formation energy is -0.154 eV/atom. The density of states at the Fermi level is 15.54 states/eV/f.u.

# 3
Ba2TiBi2: relaxed, PBE-GGA.

It has space group P4/mbm (No. 127), with a = 8.2712 Å, b = 8.2712 Å, c = 5.3154 Å, α = 90.00°, β = 90.00° and γ = 90.00°. The distinct sites, in fractional coordinates, are Ba at (0.1559, 0.3441, 0.0000), Ti at (0.0000, 0.0000, 0.5000) and Bi at (0.1599, 0.6599, 0.5000).

The calculation puts the total energy at -4.27 eV per atom. As for the calculated volume: 36.4 A^3/atom. The formation energy is -0.372 eV/atom. The density of states at the Fermi level is 4.19 states/eV/f.u.

# 4
CuReHg2: relaxed, PBE-GGA.

It has space group Pmmm (No. 47), with a = 2.8240 Å, b = 4.1812 Å, c = 5.9009 Å, α = 90.00°, β = 90.00° and γ = 90.00°. The distinct sites, in fractional coordinates, are Cu at (0.0000, 0.0000, 0.0000), Re at (0.0000, 0.0000, 0.5000) and Hg at (0.5000, 0.5000, 0.2475).

The calculation puts the total energy at -3.51 eV per atom. As for the calculated volume: 17.4 A^3/atom. The formation energy is 0.774 eV/atom. The density of states at the Fermi level is 3.78 states/eV/f.u.